1.
# PBE-GGA DyEr4Cd3, relaxed
# **Crystal system**: trigonal
# **Density of states at the Fermi level**: 1.0895 states/eV per atom
# **Magnetic moment**: 0.7 μB/cell
# **Energy relative to the elements**: -0.163 eV/atom
# **Total DFT energy (no corrections)**: -80.71 eV per cell
data_DyEr4Cd3
_cell_length_a 5.2949
_cell_length_b 5.2949
_cell_length_c 26.7962
_cell_angle_alpha 90.00
_cell_angle_beta 90.00
_cell_angle_gamma 120.00
_space_group_name_H-M_alt 'R -3 m'
_space_group_IT_number 166
_space_group_name_Hall '-R 3 2"'
loop_
_atom_site_label
_atom_site_fract_x
_atom_site_fract_y
_atom_site_fract_z
Dy1 0.0000 0.0000 0.0000
Er1 0.0000 0.0000 0.1297
Er2 0.0000 0.0000 0.3863
Cd1 0.0000 0.0000 0.2596
Cd2 0.0000 0.0000 0.5000

2.
# PBE-GGA K3Pu2ZnTe6, relaxed
# **Crystal system**: monoclinic
# **Density of states at the Fermi level**: 2.0227 states/eV per atom
# **Magnetic moment**: 18.0 μB/cell
# **Total DFT energy (no corrections)**: -125.22 eV per cell
data_K3Pu2ZnTe6
_cell_length_a 7.785
_cell_length_b 13.474
_cell_length_c 8.544
_cell_angle_alpha 90.00
_cell_angle_beta 107.73
_cell_angle_gamma 90.00
_space_group_name_H-M_alt 'C 1 2/m 1'
_space_group_IT_number 12
loop_
_space_group_symop_operation_xyz
'x,y,z'
'-x,-y,-z'
'-x,y,-z'
'x,-y,z'
'x+1/2,y+1/2,z'
'-x+1/2,-y+1/2,-z'
'-x+1/2,y+1/2,-z'
'x+1/2,-y+1/2,z'
loop_
_atom_site_label
_atom_site_fract_x
_atom_site_fract_y
_atom_site_fract_z
K1 0.000 0.000 0.000
K2 0.000 0.331 0.000
Pu1 0.000 0.166 0.500
Zn1 0.000 0.500 0.500
Te1 0.228 0.339 0.700
Te2 0.244 0.000 0.702

3.
# PBE-GGA NaBe2InAu, relaxed
# **Crystal system**: tetragonal
# **Density of states at the Fermi level**: 0.4250 states/eV per atom
# **Magnetic moment**: 0.0 μB/cell
# **Energy relative to the elements**: 0.336 eV/atom
# **Total DFT energy (no corrections)**: -13.11 eV per cell
data_NaBe2InAu
_cell_length_a 4.534
_cell_length_b 4.534
_cell_length_c 5.287
_cell_angle_alpha 90.00
_cell_angle_beta 90.00
_cell_angle_gamma 90.00
_space_group_name_H-M_alt 'P 4/m m m'
_space_group_IT_number 123
_space_group_name_Hall '-P 4 2'
loop_
_atom_site_label
_atom_site_fract_x
_atom_site_fract_y
_atom_site_fract_z
Na1 0.000 0.000 0.000
Be1 0.000 0.500 0.500
In1 0.500 0.500 0.000
Au1 0.500 0.500 0.500

4.
# PBE-GGA LiTiIn2, relaxed
# **Crystal system**: tetragonal
# **Density of states at the Fermi level**: 0.9260 states/eV per atom
# **Magnetic moment**: 0.0 μB/cell
# **Energy above the most stable polymorph in this dataset**: 0.380 eV per atom
# **Energy relative to the elements**: 0.164 eV/atom
# **Total DFT energy (no corrections)**: -58.52 eV per cell
data_LiTiIn2
_cell_length_a 7.373
_cell_length_b 7.373
_cell_length_c 6.093
_cell_angle_alpha 90.00
_cell_angle_beta 90.00
_cell_angle_gamma 90.00
_space_group_name_H-M_alt 'I -4 2 d'
_space_group_IT_number 122
_space_group_name_Hall 'I -4 2bw'
loop_
_atom_site_label
_atom_site_fract_x
_atom_site_fract_y
_atom_site_fract_z
Li1 0.000 0.000 0.000
Ti1 0.000 0.000 0.500
In1 0.227 0.250 0.125

5.
# PBE-GGA K2RbThCl8, relaxed
# **Crystal system**: triclinic
# **Density of states at the Fermi level**: 0.1273 states/eV per atom
# **Magnetic moment**: 0.0 μB/cell
# **Total DFT energy (no corrections)**: -47.73 eV per cell
data_K2RbThCl8
_cell_length_a 5.919
_cell_length_b 7.535
_cell_length_c 9.948
_cell_angle_alpha 89.95
_cell_angle_beta 89.61
_cell_angle_gamma 89.97
_space_group_name_H-M_alt 'P -1'
_space_group_IT_number 2
loop_
_space_group_symop_operation_xyz
'x,y,z'
'-x,-y,-z'
loop_
_atom_site_label
_atom_site_fract_x
_atom_site_fract_y
_atom_site_fract_z
K1 0.003 0.000 0.228
Rb1 0.500 0.500 0.500
Th1 0.500 0.500 0.000
Cl1 0.252 0.367 0.206
Cl2 0.257 0.363 0.797
Cl3 0.265 0.991 0.500
Cl4 0.268 0.807 0.998

6.
# PBE-GGA Nd2DyZn2, relaxed
# **Crystal system**: orthorhombic
# **Density of states at the Fermi level**: 1.3842 states/eV per atom
# **Magnetic moment**: 0.0 μB/cell
# **Energy above the most stable polymorph in this dataset**: 0.163 eV per atom
# **Energy relative to the elements**: -0.033 eV/atom
# **Total DFT energy (no corrections)**: -67.41 eV per cell
data_Nd2DyZn2
_cell_length_a 7.576
_cell_length_b 11.871
_cell_length_c 6.172
_cell_angle_alpha 90.00
_cell_angle_beta 90.00
_cell_angle_gamma 90.00
_space_group_name_H-M_alt 'I b a m'
_space_group_IT_number 72
_space_group_name_Hall '-I 2 2c'
loop_
_atom_site_label
_atom_site_fract_x
_atom_site_fract_y
_atom_site_fract_z
Nd1 0.157 0.203 0.000
Dy1 0.000 0.500 0.250
Zn1 0.167 0.056 0.500